# 1
# Rb2ReAuCl6 | Alexandria | GGA-PBE | relaxed
data_Rb2ReAuCl6
_chemical_formula_sum 'Rb4 Re2 Au2 Cl12'
_space_group_name_H-M_alt 'I 4/m m m'
_space_group_IT_number 139
_space_group_name_Hall '-I 4 2'
_cell_length_a 7.979
_cell_length_b 7.979
_cell_length_c 9.094
_cell_angle_alpha 90.00
_cell_angle_beta 90.00
_cell_angle_gamma 90.00
loop_
_atom_site_label
_atom_site_type_symbol
_atom_site_fract_x
_atom_site_fract_y
_atom_site_fract_z
Rb1 Rb 0.000 0.500 0.250
Re1 Re 0.000 0.000 0.000
Au1 Au 0.000 0.000 0.500
Cl1 Cl 0.000 0.000 0.254
Cl2 Cl 0.214 0.214 0.000
# **E_form (uncorrected)**: -0.858 eV per atom
# **Mass density**: 4399 kg/m3


# 2
# RbRhAuCl6 | Alexandria | GGA-PBE | relaxed
data_RbRhAuCl6
_chemical_formula_sum 'Rb1 Rh1 Au1 Cl6'
_space_group_name_H-M_alt 'P 1'
_space_group_IT_number 1
_cell_length_a 6.492
_cell_length_b 6.497
_cell_length_c 7.203
_cell_angle_alpha 91.91
_cell_angle_beta 92.04
_cell_angle_gamma 114.92
loop_
_space_group_symop_operation_xyz
'x,y,z'
loop_
_atom_site_label
_atom_site_type_symbol
_atom_site_fract_x
_atom_site_fract_y
_atom_site_fract_z
Rb1 Rb 0.000 0.000 0.000
Rh1 Rh 0.645 0.354 0.499
Au1 Au 0.309 0.691 0.500
Cl1 Cl 0.360 0.061 0.652
Cl2 Cl 0.362 0.396 0.300
Cl3 Cl 0.604 0.636 0.699
Cl4 Cl 0.657 0.081 0.287
Cl5 Cl 0.919 0.341 0.711
Cl6 Cl 0.938 0.640 0.347
# **E_form (uncorrected)**: -0.749 eV per atom
# **Mass density**: 3612 kg/m3


# 3
# Rb2RhAuCl6 | Alexandria | GGA-PBE | relaxed
data_Rb2RhAuCl6
_chemical_formula_sum 'Rb4 Rh2 Au2 Cl12'
_space_group_name_H-M_alt 'I 4/m m m'
_space_group_IT_number 139
_space_group_name_Hall '-I 4 2'
_cell_length_a 7.643
_cell_length_b 7.643
_cell_length_c 9.094
_cell_angle_alpha 90.00
_cell_angle_beta 90.00
_cell_angle_gamma 90.00
loop_
_atom_site_label
_atom_site_type_symbol
_atom_site_fract_x
_atom_site_fract_y
_atom_site_fract_z
Rb1 Rb 0.000 0.500 0.250
Rh1 Rh 0.000 0.000 0.000
Au1 Au 0.000 0.000 0.500
Cl1 Cl 0.000 0.000 0.251
Cl2 Cl 0.221 0.221 0.000
# **E_form (uncorrected)**: -0.975 eV per atom
# **Mass density**: 4273 kg/m3


# 4
# Rb2RuAuCl6 | Alexandria | GGA-PBE | relaxed
data_Rb2RuAuCl6
_chemical_formula_sum 'Rb4 Ru2 Au2 Cl12'
_space_group_name_H-M_alt 'I 4/m m m'
_space_group_IT_number 139
_space_group_name_Hall '-I 4 2'
_cell_length_a 7.780
_cell_length_b 7.780
_cell_length_c 9.094
_cell_angle_alpha 90.00
_cell_angle_beta 90.00
_cell_angle_gamma 90.00
loop_
_atom_site_label
_atom_site_type_symbol
_atom_site_fract_x
_atom_site_fract_y
_atom_site_fract_z
Rb1 Rb 0.000 0.500 0.250
Ru1 Ru 0.000 0.000 0.000
Au1 Au 0.000 0.000 0.500
Cl1 Cl 0.000 0.000 0.252
Cl2 Cl 0.218 0.218 0.000
# **E_form (uncorrected)**: -0.919 eV per atom
# **Mass density**: 4113 kg/m3


# 5
# RbAuS2Cl | Alexandria | GGA-PBE | relaxed
data_RbAuS2Cl
_chemical_formula_sum 'Rb1 Au1 S2 Cl1'
_space_group_name_H-M_alt 'P 4/m m m'
_space_group_IT_number 123
_space_group_name_Hall '-P 4 2'
_cell_length_a 6.243
_cell_length_b 6.243
_cell_length_c 6.010
_cell_angle_alpha 90.00
_cell_angle_beta 90.00
_cell_angle_gamma 90.00
loop_
_atom_site_label
_atom_site_type_symbol
_atom_site_fract_x
_atom_site_fract_y
_atom_site_fract_z
Rb1 Rb 0.000 0.000 0.000
Au1 Au 0.500 0.500 0.500
S1 S 0.000 0.500 0.000
Cl1 Cl 0.000 0.000 0.500
# **E_form (uncorrected)**: 1.026 eV per atom
# **Mass density**: 2709 kg/m3
# **Energy above the lowest structure with this stoichiometry**: 1.254 eV/atom


# 6
# RbAuS2Cl | Alexandria | GGA-PBE | relaxed
data_RbAuS2Cl
_chemical_formula_sum 'Rb1 Au1 S2 Cl1'
_space_group_name_H-M_alt 'P 4/m m m'
_space_group_IT_number 123
_space_group_name_Hall '-P 4 2'
_cell_length_a 4.882
_cell_length_b 4.882
_cell_length_c 5.570
_cell_angle_alpha 90.00
_cell_angle_beta 90.00
_cell_angle_gamma 90.00
loop_
_atom_site_label
_atom_site_type_symbol
_atom_site_fract_x
_atom_site_fract_y
_atom_site_fract_z
Rb1 Rb 0.000 0.000 0.000
Au1 Au 0.500 0.500 0.500
S1 S 0.000 0.500 0.500
Cl1 Cl 0.500 0.500 0.000
# **E_form (uncorrected)**: -0.228 eV per atom
# **Mass density**: 4778 kg/m3
# **Energy above the lowest structure with this stoichiometry**: 0.000 eV/atom